Entry 1:
Compound: ScPaSi
Source: OQMD via LeMat-Bulk
Functional: PBE-GGA
Structure: relaxed

The offset from the most stable computed form comes out at 0.00 eV per formula unit. Its total energy is -86.03 eV for the cell shown. The calculation puts the total magnetization at 0.7 μB per formula unit. Its crystal system is cubic.

The structure belongs to space group F-43m (No. 216); the cell edges are 6.5620, 6.5620 and 6.5620 Å and the angles 90.00°, 90.00° and 90.00°. The distinct sites, in fractional coordinates, are Sc at (0.0000, 0.0000, 0.0000), Pa at (0.0000, 0.0000, 0.5000) and Si at (0.2500, 0.2500, 0.7500).

Entry 2:
Compound: ScPaSi
Source: OQMD via LeMat-Bulk
Functional: PBE-GGA
Structure: relaxed

The offset from the most stable computed form comes out at 2.49 eV per formula unit. Its total energy is -76.06 eV for the cell shown. The calculation puts the total magnetization at 3.3 μB per formula unit. Its crystal system is cubic.

The structure belongs to space group F-43m (No. 216); the cell edges are 6.7653, 6.7653 and 6.7653 Å and the angles 90.00°, 90.00° and 90.00°. The distinct sites, in fractional coordinates, are Sc at (0.0000, 0.0000, 0.0000), Pa at (0.2500, 0.2500, 0.2500) and Si at (0.0000, 0.0000, 0.5000).

Entry 3:
Compound: SmScPa
Source: OQMD via LeMat-Bulk
Functional: PBE-GGA
Structure: relaxed

The offset from the most stable computed form comes out at 0.00 eV per formula unit. Its total energy is -70.27 eV for the cell shown. The calculation puts the total magnetization at 2.5 μB per formula unit. Its crystal system is cubic.

The structure belongs to space group F-43m (No. 216); the cell edges are 7.2302, 7.2302 and 7.2302 Å and the angles 90.00°, 90.00° and 90.00°. The distinct sites, in fractional coordinates, are Sm at (0.0000, 0.0000, 0.0000), Sc at (0.2500, 0.2500, 0.7500) and Pa at (0.0000, 0.0000, 0.5000).

Entry 4:
Compound: ScPaSn
Source: OQMD via LeMat-Bulk
Functional: PBE-GGA
Structure: relaxed

The offset from the most stable computed form comes out at 1.37 eV per formula unit. Its total energy is -71.13 eV for the cell shown. The calculation puts the total magnetization at 3.5 μB per formula unit. Its crystal system is cubic.

The structure belongs to space group F-43m (No. 216); the cell edges are 7.2270, 7.2270 and 7.2270 Å and the angles 90.00°, 90.00° and 90.00°. The distinct sites, in fractional coordinates, are Sc at (0.0000, 0.0000, 0.0000), Pa at (0.2500, 0.2500, 0.2500) and Sn at (0.0000, 0.0000, 0.5000).

Entry 5:
Compound: ScPaSn
Source: OQMD via LeMat-Bulk
Functional: PBE-GGA
Structure: relaxed

The offset from the most stable computed form comes out at 0.00 eV per formula unit. Its total energy is -76.62 eV for the cell shown. The calculation puts the total magnetization at 2.0 μB per formula unit. Its crystal system is cubic.

The structure belongs to space group F-43m (No. 216); the cell edges are 7.0717, 7.0717 and 7.0717 Å and the angles 90.00°, 90.00° and 90.00°. The distinct sites, in fractional coordinates, are Sc at (0.0000, 0.0000, 0.0000), Pa at (0.0000, 0.0000, 0.5000) and Sn at (0.2500, 0.2500, 0.7500).

Entry 6:
Compound: ScPaTa
Source: OQMD via LeMat-Bulk
Functional: PBE-GGA
Structure: relaxed

The offset from the most stable computed form comes out at 0.41 eV per formula unit. Its total energy is -96.03 eV for the cell shown. The calculation puts the total magnetization at 0.0 μB per formula unit. Its crystal system is cubic.

The structure belongs to space group F-43m (No. 216); the cell edges are 6.7513, 6.7513 and 6.7513 Å and the angles 90.00°, 90.00° and 90.00°. The distinct sites, in fractional coordinates, are Sc at (0.0000, 0.0000, 0.0000), Pa at (0.2500, 0.2500, 0.2500) and Ta at (0.0000, 0.0000, 0.5000).